No. 1
Here is a relaxed structure of BaPmO3 from OQMD. Energies are from PBE.

Lattice parameters (Å, degrees): 6.3661 8.9153 6.2650 90.00 90.00 90.00
With the nearest neighbours (Å) after each atom.
Space group Pnma (No. 62)
One atom of each set of equivalent atoms:
Ba: 0.0370 0.2500 0.0085 [4 per cell]  4 O 2.68-2.80
Pm: 0.0000 0.0000 0.5000 [4 per cell]  6 O 2.30
O: 0.0323 0.7500 0.4142 [4 per cell]  2 Pm 2.30
O: 0.2098 0.5458 0.7914 [8 per cell]  2 Pm 2.30

Values from the calculation:
- Magnetization: 4.001 μB per cell
- Raw total energy: -6.920 eV per atom



No. 2
Here is a relaxed structure of GdHo2ErGa2 from OQMD. Energies are from PBE.

Lattice parameters (Å, degrees): 5.1469 5.1469 6.5821 90.00 90.00 120.00
With the nearest neighbours (Å) after each atom.
Space group P-6m2 (No. 187)
One atom of each set of equivalent atoms:
Gd: 0.0000 0.0000 0.0000 [1 per cell]  5 Ga 2.97-3.29
Ho: 0.6667 0.3333 0.2525 [2 per cell]  2 Ho 3.26-3.32, 6 Ga 3.39-3.40, 3 Er 3.39, 3 Gd 3.40
Er: 0.3333 0.6667 0.5000 [1 per cell]  5 Ga 2.97-3.29
Ga: 0.0000 0.0000 0.5000 [1 per cell]  3 Er 2.97, 2 Gd 3.29
Ga: 0.3333 0.6667 0.0000 [1 per cell]  3 Gd 2.97, 2 Er 3.29

Values from the calculation:
- Magnetization: 0.049 μB per cell
- Raw total energy: -4.464 eV per atom



No. 3
Here is a relaxed structure of PrNdNi2 from OQMD. Energies are from PBE.

Lattice parameters (Å, degrees): 4.3158 5.5864 7.3031 90.00 90.00 90.00
With the nearest neighbours (Å) after each atom.
Space group Pmc2_1 (No. 26)
One atom of each set of equivalent atoms:
Pr: 0.0000 0.1209 0.0000 [2 per cell]  7 Ni 2.96-3.02
Nd: 0.5000 0.3795 0.3600 [2 per cell]  7 Ni 2.94-3.03
Ni: 0.0000 0.3746 0.6422 [2 per cell]  2 Ni 2.61
Ni: 0.5000 0.1292 0.7167 [2 per cell]  2 Ni 2.61

Values from the calculation:
- Magnetization: 0.002 μB per cell
- ΔE to the lowest computed polymorph: 0.0000 eV per atom
- Formation enthalpy at 0 K: -0.311 eV per atom



No. 4
Here is a relaxed structure of Dy2TlCoCu from OQMD. Energies are from PBE.

Lattice parameters (Å, degrees): 3.7041 3.9390 14.3863 90.00 90.00 90.00
With the nearest neighbours (Å) after each atom.
Space group Amm2 (No. 38)
One atom of each set of equivalent atoms:
Dy: 0.0000 0.0000 0.0000 [2 per cell]  4 Co 2.86, 2 Cu 2.97
Dy: 0.0000 0.0000 0.2786 [2 per cell]  4 Cu 2.84, 2 Co 2.92
Tl: 0.5000 0.0000 0.6350 [2 per cell]  1 Co 2.87, 1 Cu 2.93
Co: 0.5000 0.0000 0.4357 [2 per cell]  2 Cu 2.41
Cu: 0.5000 0.0000 0.8389 [2 per cell]  2 Co 2.41

Values from the calculation:
- Magnetization: 0.005 μB per cell
- Raw total energy: -4.770 eV per atom



No. 5
Here is a relaxed structure of Sm3Sn3IrPt2 from OQMD. Energies are from PBE.

Lattice parameters (Å, degrees): 7.5566 7.5566 4.0958 90.00 90.00 120.00
With the nearest neighbours (Å) after each atom.
Space group P-62m (No. 189)
One atom of each set of equivalent atoms:
Sm: 0.0000 0.4091 0.0000 [3 per cell]  4 Pt 3.07, 1 Ir 3.09, 6 Sn 3.29-3.39
Sn: 0.0000 0.7492 0.5000 [3 per cell]  2 Ir 2.79, 2 Pt 2.88
Ir: 0.0000 0.0000 0.0000 [1 per cell]  6 Sn 2.79, 3 Sm 3.09
Pt: 0.3333 0.6667 0.5000 [2 per cell]  3 Sn 2.88, 6 Sm 3.07

Values from the calculation:
- Magnetization: 0.013 μB per cell
- Raw total energy: -6.254 eV per atom



No. 6
Here is a relaxed structure of Ho3Cd3GaAu2 from OQMD. Energies are from PBE.

Lattice parameters (Å, degrees): 7.8023 7.8023 3.8445 90.00 90.00 120.00
With the nearest neighbours (Å) after each atom.
Space group P-62m (No. 189)
One atom of each set of equivalent atoms:
Ho: 0.0000 0.4053 0.0000 [3 per cell]  4 Au 3.05, 1 Ga 3.16, 6 Cd 3.24-3.38
Cd: 0.0000 0.7401 0.5000 [3 per cell]  2 Ga 2.79, 2 Au 2.93
Ga: 0.0000 0.0000 0.0000 [1 per cell]  6 Cd 2.79
Au: 0.3333 0.6667 0.5000 [2 per cell]  3 Cd 2.93, 6 Ho 3.05

Values from the calculation:
- Magnetization: 0.011 μB per cell
- Raw total energy: -3.507 eV per atom



No. 7
Here is a relaxed structure of NdDyCu2As2P2 from OQMD. Energies are from PBE.

Lattice parameters (Å, degrees): 3.8544 3.8544 9.8947 90.00 90.00 90.00
With the nearest neighbours (Å) after each atom.
Space group P4mm (No. 99)
One atom of each set of equivalent atoms:
Nd: 0.0000 0.0000 0.0000 [1 per cell]  4 P 2.94, 4 As 3.13, 4 Cu 3.22
Dy: 0.5000 0.5000 0.5127 [1 per cell]  4 P 2.91, 4 As 3.04, 4 Cu 3.16
Cu: 0.0000 0.5000 0.2602 [2 per cell]  4 P 2.42-2.43
As: 0.0000 0.5000 0.7509 [2 per cell]  4 As 2.73, 2 Dy 3.04
P: 0.0000 0.0000 0.4100 [1 per cell]  4 Cu 2.43
P: 0.5000 0.5000 0.1127 [1 per cell]  4 Cu 2.42

Values from the calculation:
- Magnetization: 0.000 μB per cell
- Raw total energy: -5.497 eV per atom



No. 8
Here is a relaxed structure of TlTcAuS3 from OQMD. Energies are from PBE.

Lattice parameters (Å, degrees): 9.0841 3.2762 10.0669 90.00 113.44 90.00
With the nearest neighbours (Å) after each atom.
Space group P2_1/m (No. 11)
One atom of each set of equivalent atoms:
Tl: 0.2082 0.2500 0.2183 [2 per cell]  5 S 3.10-3.45, 2 Au 3.26, 2 Tl 3.28
Tc: 0.1529 0.7500 0.6741 [2 per cell]  6 S 2.26-2.50
Au: 0.4288 0.7500 0.0855 [2 per cell]  2 S 2.38
S: 0.0636 0.7500 0.4049 [2 per cell]  3 Tc 2.44-2.50
S: 0.1632 0.7500 0.9024 [2 per cell]  1 Tc 2.26, 1 Au 2.38
S: 0.3477 0.2500 0.6870 [2 per cell]  2 Tc 2.38, 1 Au 2.38

Values from the calculation:
- Magnetization: 0.410 μB per cell
- ΔE to the lowest computed polymorph: 0.0000 eV per atom



No. 9
Here is a relaxed structure of TbZrB from OQMD. Energies are from PBE.

Lattice parameters (Å, degrees): 6.1677 6.1677 6.1677 90.00 90.00 90.00
With the nearest neighbours (Å) after each atom.
Space group F-43m (No. 216)
One atom of each set of equivalent atoms:
Tb: 0.0000 0.0000 0.0000 [4 per cell]  4 B 2.67
Zr: 0.0000 0.0000 0.5000 [4 per cell]  4 B 2.67
B: 0.2500 0.2500 0.2500 [4 per cell]  4 Zr 2.67, 4 Tb 2.67

Values from the calculation:
- Magnetization: 0.026 μB per cell
- ΔE to the lowest computed polymorph: 0.0000 eV per atom



No. 10
Here is a relaxed structure of Fe2SiSn from OQMD. Energies are from PBE.

Lattice parameters (Å, degrees): 5.9012 5.9012 5.9012 90.00 90.00 90.00
With the nearest neighbours (Å) after each atom.
Space group Pm-3m (No. 221)
One atom of each set of equivalent atoms:
Fe: 0.2331 0.2331 0.2331 [8 per cell]  4 Si 2.38-2.50, 3 Sn 2.62
Si: 0.0000 0.0000 0.0000 [1 per cell]  8 Fe 2.38
Si: 0.0000 0.0000 0.5000 [3 per cell]  8 Fe 2.50
Sn: 0.0000 0.5000 0.5000 [3 per cell]  8 Fe 2.62
Sn: 0.5000 0.5000 0.5000 [1 per cell]  8 Fe 2.73, 6 Sn 2.95

Values from the calculation:
- Magnetization: 5.650 μB per cell
- Raw total energy: -6.446 eV per atom



No. 11
Here is a relaxed structure of Ba2YPtN6 from OQMD. Energies are from PBE.

Lattice parameters (Å, degrees): 6.0429 6.0429 8.5486 90.00 90.00 90.00
With the nearest neighbours (Å) after each atom.
Space group I4/m (No. 87)
One atom of each set of equivalent atoms:
Ba: 0.0000 0.5000 0.2500 [4 per cell]  12 N 2.99-3.06
Y: 0.0000 0.0000 0.0000 [2 per cell]  6 N 2.27-2.28
Pt: 0.0000 0.0000 0.5000 [2 per cell]  6 N 2.00
N: 0.0000 0.0000 0.2662 [4 per cell]  1 Pt 2.00
N: 0.2285 0.2392 0.5000 [8 per cell]  1 Pt 2.00

Values from the calculation:
- Magnetization: 0.694 μB per cell
- Raw total energy: -6.286 eV per atom



No. 12
Here is a relaxed structure of NbZnGe2 from OQMD. Energies are from PBE.

Lattice parameters (Å, degrees): 6.5275 6.5275 6.5275 90.00 90.00 90.00
With the nearest neighbours (Å) after each atom.
Space group F-43m (No. 216)
One atom of each set of equivalent atoms:
Nb: 0.0000 0.0000 0.0000 [4 per cell]  4 Ge 2.83, 4 Zn 2.83
Zn: 0.2500 0.2500 0.2500 [4 per cell]  4 Ge 2.83, 4 Nb 2.83
Ge: 0.0000 0.0000 0.5000 [4 per cell]  4 Ge 2.83, 4 Zn 2.83
Ge: 0.2500 0.2500 0.7500 [4 per cell]  4 Ge 2.83, 4 Nb 2.83

Values from the calculation:
- Magnetization: 2.902 μB per cell
- Raw total energy: -4.738 eV per atom



No. 13
Here is a relaxed structure of GdSiB4 from OQMD. Energies are from PBE.

Lattice parameters (Å, degrees): 3.0851 3.0851 7.4853 90.00 90.00 120.00
With the nearest neighbours (Å) after each atom.
Space group P6/mmm (No. 191)
One atom of each set of equivalent atoms:
Gd: 0.0000 0.0000 0.0000 [1 per cell]  12 B 2.76, 6 Gd 3.09
Si: 0.0000 0.0000 0.5000 [1 per cell]  12 B 2.41
B: 0.3333 0.6667 0.2824 [4 per cell]  3 B 1.78

Values from the calculation:
- Magnetization: 0.002 μB per cell
- ΔE to the lowest computed polymorph: 0.0868 eV per atom



No. 14
Here is a relaxed structure of CsInPdS3 from OQMD. Energies are from PBE.

Lattice parameters (Å, degrees): 15.0913 4.2013 10.9906 90.00 90.00 90.00
With the nearest neighbours (Å) after each atom.
Space group Pnma (No. 62)
One atom of each set of equivalent atoms:
Cs: 0.2319 0.2500 0.0344 [4 per cell]  5 S 3.46-3.84, 2 Pd 3.83
In: 0.0243 0.2500 0.3647 [4 per cell]  6 S 2.53-2.78
Pd: 0.0226 0.7500 0.0820 [4 per cell]  4 S 2.35-2.40
S: 0.0360 0.7500 0.8642 [4 per cell]  3 Pd 2.35-2.40
S: 0.0888 0.2500 0.5774 [4 per cell]  3 In 2.53-2.78
S: 0.1105 0.7500 0.2599 [4 per cell]  1 Pd 2.36

Values from the calculation:
- ΔE to the lowest computed polymorph: 0.0000 eV per atom



No. 15
Here is a relaxed structure of LaErGa2Pt4 from OQMD. Energies are from PBE.

Lattice parameters (Å, degrees): 4.4124 4.4124 9.3933 90.00 90.00 120.00
With the nearest neighbours (Å) after each atom.
Space group P-6m2 (No. 187)
One atom of each set of equivalent atoms:
La: 0.0000 0.0000 0.0000 [1 per cell]  8 Pt 3.09-3.22
Er: 0.3333 0.6667 0.5000 [1 per cell]  8 Pt 2.95
Ga: 0.6667 0.3333 0.2612 [2 per cell]  6 Pt 2.64-2.66
Pt: 0.0000 0.0000 0.3424 [2 per cell]  3 Ga 2.66, 4 Pt 2.94-2.96, 3 Er 2.95
Pt: 0.3333 0.6667 0.1859 [2 per cell]  3 Ga 2.64, 3 Pt 2.94, 1 Er 2.95

Values from the calculation:
- Magnetization: 0.001 μB per cell
- Raw total energy: -6.006 eV per atom



No. 16
Here is a relaxed structure of Er2GaGe from OQMD. Energies are from PBE.

Lattice parameters (Å, degrees): 3.9588 4.2788 10.6776 90.00 90.00 90.00
With the nearest neighbours (Å) after each atom.
Space group Amm2 (No. 38)
One atom of each set of equivalent atoms:
Er: 0.0000 0.0000 0.0000 [2 per cell]  3 Ga 2.98-3.18, 4 Ge 2.98
Er: 0.5000 0.0000 0.2790 [2 per cell]  4 Ga 2.98, 3 Ge 2.99-3.18
Ga: 0.0000 0.0000 0.7208 [2 per cell]  2 Ge 2.63
Ge: 0.5000 0.0000 0.5591 [2 per cell]  2 Ga 2.63

Values from the calculation:
- Magnetization: 0.017 μB per cell
- Raw total energy: -4.976 eV per atom



No. 17
Here is a relaxed structure of TbErGa2Ir4 from OQMD. Energies are from PBE.

Lattice parameters (Å, degrees): 4.3338 4.3338 9.0111 90.00 90.00 120.00
With the nearest neighbours (Å) after each atom.
Space group P-6m2 (No. 187)
One atom of each set of equivalent atoms:
Tb: 0.0000 0.0000 0.0000 [1 per cell]  8 Ir 2.95-3.05
Er: 0.3333 0.6667 0.5000 [1 per cell]  8 Ir 2.90-2.95
Ga: 0.6667 0.3333 0.2533 [2 per cell]  6 Ir 2.60-2.62
Ir: 0.0000 0.0000 0.3380 [2 per cell]  3 Ga 2.62, 3 Er 2.90, 4 Ir 2.91-2.92
Ir: 0.3333 0.6667 0.1731 [2 per cell]  3 Ga 2.60, 3 Ir 2.91

Values from the calculation:
- Magnetization: 0.217 μB per cell
- ΔE to the lowest computed polymorph: 0.0000 eV per atom



No. 18
Here is a relaxed structure of SmMgTlTe3 from OQMD. Energies are from PBE.

Lattice parameters (Å, degrees): 4.5215 15.4173 11.9461 90.00 90.00 90.00
With the nearest neighbours (Å) after each atom.
Space group Cmcm (No. 63)
One atom of each set of equivalent atoms:
Sm: 0.0000 0.0000 0.0000 [4 per cell]  6 Te 3.16-3.20
Mg: 0.0000 0.4639 0.2500 [4 per cell]  4 Te 2.77-2.84
Tl: 0.0000 0.2438 0.7500 [4 per cell]  6 Te 3.59-3.62, 2 Mg 3.92
Te: 0.0000 0.0751 0.2500 [4 per cell]  2 Mg 2.84
Te: 0.0000 0.3635 0.0577 [8 per cell]  1 Mg 2.77

Values from the calculation:
- Magnetization: 0.020 μB per cell
- Raw total energy: -3.974 eV per atom



No. 19
Here is a relaxed structure of Nd2GdAl3Ni3 from OQMD. Energies are from PBE.

Lattice parameters (Å, degrees): 4.0484 12.1864 6.9716 90.00 90.00 90.00
With the nearest neighbours (Å) after each atom.
Space group Amm2 (No. 38)
One atom of each set of equivalent atoms:
Nd: 0.0000 0.2090 0.0000 [4 per cell]  5 Ni 2.93-2.95, 6 Al 3.20-3.27
Gd: 0.0000 0.0000 0.6263 [2 per cell]  5 Ni 2.88-2.89, 6 Al 3.18-3.22
Al: 0.5000 0.0000 0.9783 [2 per cell]  4 Ni 2.61-2.74, 2 Al 2.80
Al: 0.5000 0.1135 0.3275 [4 per cell]  4 Ni 2.58-2.85, 2 Al 2.77-2.80
Ni: 0.0000 0.0000 0.2138 [2 per cell]  6 Al 2.58-2.61, 1 Gd 2.88
Ni: 0.5000 0.1627 0.7077 [4 per cell]  3 Al 2.72-2.85, 2 Gd 2.89, 4 Nd 2.93-2.94

Values from the calculation:
- Magnetization: 0.000 μB per cell
- Raw total energy: -5.220 eV per atom



No. 20
Here is a relaxed structure of Tl2Co2Mo3 from OQMD. Energies are from PBE.

Lattice parameters (Å, degrees): 4.3902 4.3902 20.3945 90.00 90.00 120.00
With the nearest neighbours (Å) after each atom.
Space group R3m (No. 160, hexagonal axes)
One atom of each set of equivalent atoms:
Tl: 0.0000 0.0000 0.0000 [3 per cell]  3 Co 2.64, 3 Mo 2.84
Tl: 0.0000 0.0000 0.4252 [3 per cell]  6 Co 2.78-2.82, 1 Mo 2.86
Co: 0.0000 0.0000 0.1521 [3 per cell]  4 Mo 2.41-2.61
Co: 0.0000 0.0000 0.7025 [3 per cell]  6 Tl 2.64-2.78, 1 Mo 2.80
Mo: 0.0000 0.0000 0.2705 [3 per cell]  1 Co 2.41, 3 Mo 2.65
Mo: 0.0000 0.0000 0.5653 [3 per cell]  6 Mo 2.65-2.72, 1 Co 2.80, 1 Tl 2.86
Mo: 0.0000 0.0000 0.8497 [3 per cell]  3 Co 2.61, 3 Mo 2.72

Values from the calculation:
- Magnetization: 2.596 μB per cell
- Raw total energy: -6.868 eV per atom